CaMg2Os | GGA-PBE | relaxed

Cell lengths 3.444, 3.456, 7.393 Å; angles 90.00, 90.00, 90.00 degrees
Space group Pmm2 (No. 25)
Asymmetric unit:
Ca  0.000  0.000  0.000 (multiplicity 1)
Mg  0.000  0.000  0.599 (multiplicity 1)
Mg  0.500  0.500  0.365 (multiplicity 1)
Os  0.500  0.500  0.749 (multiplicity 1)

Output
uncorrected energy	-3.849	eV/atom
density of states at the Fermi level	0.70	states/eV per atom
DFT formation energy	1.02	eV per formula unit